DFT (PBE-GGA) results for crystalline Pm3Pr4Sc2 at its relaxed geometry.

Cell lengths 7.3439, 7.3439, 12.9756 Å; angles 115.56, 115.56, 28.86 degrees
Positions (direct):
Pm 0.0000 0.0000 0.0000
Pm 0.3851 0.3851 0.3927
Pm 0.6149 0.6149 0.6073
Pr 0.1069 0.1069 0.3534
Pr 0.3616 0.3616 0.1163
Pr 0.6384 0.6384 0.8837
Pr 0.8931 0.8931 0.6466
Sc 0.3037 0.3037 0.8162
Sc 0.6963 0.6963 0.1838

Values from the calculation:
* formation energy: 116 meV/atom
* energy above the lowest structure with this stoichiometry: 7 meV per atom
* space group: C2/m (12)
* M_tot: 0.00 μB/atom
* DOS at the Fermi energy: 15.161 states/eV/cell

***

DFT (PBE-GGA) results for crystalline PmPa2Se4 at its relaxed geometry.

Cell lengths 6.8982, 6.8982, 14.2867 Å; angles 90.00, 90.00, 146.71 degrees
Positions (direct):
Pm 0.1097 0.8903 0.7500
Pm 0.8903 0.1097 0.2500
Pa 0.3564 0.6436 0.5618
Pa 0.3564 0.6436 0.9382
Pa 0.6436 0.3564 0.0618
Pa 0.6436 0.3564 0.4382
Se 0.0000 0.0000 0.0000
Se 0.0000 0.0000 0.5000
Se 0.2846 0.7154 0.1302
Se 0.2846 0.7154 0.3698
Se 0.4425 0.5575 0.7500
Se 0.5575 0.4425 0.2500
Se 0.7154 0.2846 0.6302
Se 0.7154 0.2846 0.8698

Values from the calculation:
* energy relative to the elements, uncorrected: -135.10 kJ/mol of atoms
* energy above the lowest structure with this stoichiometry: 0 meV per atom
* space group: Cmcm (63)
* M_tot: 0.40 μB/atom
* DOS at the Fermi energy: 20.309 states/eV/cell

***

DFT (PBE-GGA) results for crystalline ZrMnTe2 at its relaxed geometry.

Cell lengths 3.8922, 3.8922, 22.3446 Å; angles 90.00, 90.00, 120.00 degrees
Positions (direct):
Zr 0.0000 0.0000 0.0000
Zr 0.3333 0.6667 0.6667
Zr 0.6667 0.3333 0.3333
Mn 0.0000 0.0000 0.5000
Mn 0.3333 0.6667 0.1667
Mn 0.6667 0.3333 0.8333
Te 0.0000 0.0000 0.2461
Te 0.0000 0.0000 0.7539
Te 0.3333 0.6667 0.4206
Te 0.3333 0.6667 0.9127
Te 0.6667 0.3333 0.0873
Te 0.6667 0.3333 0.5794

Values from the calculation:
* energy relative to the elements, uncorrected: -33.67 kJ/mol of atoms
* energy above the lowest structure with this stoichiometry: 136 meV per atom
* space group: R-3m (166)
* M_tot: 1.24 μB/atom
* DOS at the Fermi energy: 5.384 states/eV/cell

***

DFT (PBE-GGA) results for crystalline PrHoErIn at its relaxed geometry.

Cell lengths 7.7570, 7.7570, 7.7570 Å; angles 90.00, 90.00, 90.00 degrees
Positions (direct):
Pr 0.0000 0.0000 0.0000
Pr 0.0000 0.5000 0.5000
Pr 0.5000 0.0000 0.5000
Pr 0.5000 0.5000 0.0000
Ho 0.2500 0.2500 0.7500
Ho 0.2500 0.7500 0.2500
Ho 0.7500 0.2500 0.2500
Ho 0.7500 0.7500 0.7500
Er 0.2500 0.2500 0.2500
Er 0.2500 0.7500 0.7500
Er 0.7500 0.2500 0.7500
Er 0.7500 0.7500 0.2500
In 0.0000 0.0000 0.5000
In 0.0000 0.5000 0.0000
In 0.5000 0.0000 0.0000
In 0.5000 0.5000 0.5000

Values from the calculation:
* formation energy: -80 meV/atom
* energy above the lowest structure with this stoichiometry: 51 meV per atom
* space group: F-43m (216)
* M_tot: 0.38 μB/atom
* DOS at the Fermi energy: 23.401 states/eV/cell

***

DFT (PBE-GGA) results for crystalline Ac2LaOsN4 at its relaxed geometry.

Cell lengths 6.6199, 6.6199, 12.9037 Å; angles 90.00, 90.00, 148.37 degrees
Positions (direct):
Ac 0.1321 0.8679 0.5419
Ac 0.1321 0.8679 0.9581
Ac 0.8679 0.1321 0.0419
Ac 0.8679 0.1321 0.4581
La 0.3751 0.6249 0.7500
La 0.6249 0.3751 0.2500
Os 0.3412 0.6588 0.2500
Os 0.6588 0.3412 0.7500
N 0.0950 0.9050 0.7500
N 0.2198 0.7802 0.1439
N 0.2198 0.7802 0.3561
N 0.5000 0.5000 0.0000
N 0.5000 0.5000 0.5000
N 0.7802 0.2198 0.6439
N 0.7802 0.2198 0.8561
N 0.9050 0.0950 0.2500

Values from the calculation:
* energy relative to the elements, uncorrected: -62.30 kJ/mol of atoms
* space group: Cmcm (63)
* M_tot: 0.00 μB/atom
* DOS at the Fermi energy: 4.031 states/eV/cell

***

DFT (PBE-GGA) results for crystalline TiNiSb2I at its relaxed geometry.

Cell lengths 4.9322, 4.9322, 5.3601 Å; angles 90.00, 90.00, 90.00 degrees
Positions (direct):
Ti 0.0000 0.0000 0.0000
Ni 0.5000 0.5000 0.5000
Sb 0.0000 0.5000 0.5000
Sb 0.5000 0.0000 0.5000
I 0.5000 0.5000 0.0000

Values from the calculation:
* energy relative to the elements, uncorrected: 52.61 kJ/mol of atoms
* energy above the lowest structure with this stoichiometry: 0 meV per atom
* space group: P4/mmm (123)
* M_tot: 0.34 μB/atom
* DOS at the Fermi energy: 6.388 states/eV/cell

***

Q: Which of these has the highest DOS at the Fermi energy?
A: PrHoErIn

***

Q: Among the records above, which one has the lowest DOS at the Fermi energy?
A: Ac2LaOsN4

***

Q: Number 2 is which compound?
A: PmPa2Se4

***

Q: Which value of M_tot does entry 4 give?
A: 0.38 μB/atom